No. 1
DFT (PBE) results for a relaxed structure of LaTb2PrNd4.

extended XYZ file:
```
8
Lattice="-0.565 2.953 2.112 -4.615 1.892 -3.880 -9.568 -5.528 5.172" Properties=species:S:1:pos:R:3 pbc="T T T"
Nd -8.612 -2.204 3.975
Pr -7.092 -1.818 0.646
Tb -9.568 -5.528 5.172
La -12.158 -3.106 4.288
Tb -5.067 -1.288 3.642
Nd -4.123 2.031 2.450
Nd -10.625 -2.714 0.954
Nd -6.136 1.521 -0.571
```

The calculation puts the formation energy at 0.017 eV/atom. The calculation puts the total DFT energy (no corrections) at -4.7376 eV per atom. As for the total magnetization: 0.0000 μB per atom.

No. 2
DFT (PBE) results for a relaxed structure of BaNb3Co.

extended XYZ file:
```
5
Lattice="-4.814 0.262 -0.330 -0.401 -1.703 4.505 0.128 4.515 1.718" Properties=species:S:1:pos:R:3 pbc="T T T"
Nb -2.407 0.131 -0.165
Nb 0.064 2.257 0.859
Ba -2.544 1.537 2.946
Nb -0.201 -0.851 2.252
Co 0.000 0.000 0.000
```

The calculation puts the formation energy at 0.869 eV/atom. The calculation puts the total DFT energy (no corrections) at -6.9790 eV per atom. As for the total magnetization: 0.0000 μB per atom.

No. 3
DFT (PBE) results for a relaxed structure of Li2AsAu.

extended XYZ file:
```
4
Lattice="2.886 0.001 0.000 -0.002 2.886 0.000 0.000 0.000 7.578" Properties=species:S:1:pos:R:3 pbc="T T T"
Au 1.442 1.444 5.684
Li 0.000 0.000 0.013
As 1.442 1.444 1.895
Li 0.000 0.000 3.776
```

The calculation puts the formation energy at -0.507 eV/atom. The calculation puts the total DFT energy (no corrections) at -3.4460 eV per atom. As for the total magnetization: 0.0000 μB per atom.

No. 4
DFT (PBE) results for a relaxed structure of InPtO2F.

extended XYZ file:
```
5
Lattice="3.812 0.000 0.000 0.000 3.812 0.000 0.000 0.000 5.522" Properties=species:S:1:pos:R:3 pbc="T T T"
O 1.906 0.000 0.000
F 0.000 0.000 2.761
Pt 0.000 0.000 0.000
In 1.906 1.906 2.761
O 0.000 1.906 0.000
```

The calculation puts the total DFT energy (no corrections) at -4.7076 eV per atom. As for the total magnetization: 0.0914 μB per atom.

No. 5
DFT (PBE) results for a relaxed structure of Ca3Tc.

extended XYZ file:
```
4
Lattice="-4.729 -1.166 -2.263 -0.160 -2.426 -4.789 -1.613 -5.110 -0.369" Properties=species:S:1:pos:R:3 pbc="T T T"
Ca -3.251 -4.351 -3.711
Tc -4.877 -6.527 -5.566
Ca -1.626 -2.176 -1.855
Ca 0.000 0.000 0.000
```

The calculation puts the formation energy at 0.556 eV/atom. The calculation puts the total DFT energy (no corrections) at -3.5370 eV per atom. As for the total magnetization: 0.2594 μB per atom.

No. 6
DFT (PBE) results for a relaxed structure of PrTh2BeN4.

extended XYZ file:
```
16
Lattice="3.604 0.000 0.000 -1.802 5.918 0.000 0.000 0.000 11.640" Properties=species:S:1:pos:R:3 pbc="T T T"
Th 0.000 4.361 6.496
Th 0.000 4.361 10.963
N 0.000 5.044 8.730
N 1.802 2.740 7.326
Pr 0.000 1.150 8.730
N 1.802 0.874 2.910
Th 1.802 1.557 5.143
N 0.000 3.178 4.314
N 1.802 2.740 10.134
Be 0.000 2.322 2.910
N 0.000 3.178 1.506
Be 1.802 3.596 8.730
N 0.000 0.000 0.000
Pr 1.802 4.768 2.910
Th 1.802 1.557 0.676
N 0.000 0.000 5.820
```

The calculation puts the total DFT energy (no corrections) at -8.4019 eV per atom. As for the total magnetization: 0.0000 μB per atom.

No. 7
DFT (PBE) results for a relaxed structure of ZrCrGe2.

extended XYZ file:
```
48
Lattice="8.198 0.000 0.000 0.000 9.335 0.000 0.000 0.000 10.093" Properties=species:S:1:pos:R:3 pbc="T T T"
Ge 0.000 0.359 1.266
Cr 2.052 8.588 7.505
Zr 6.111 3.070 4.560
Ge 0.000 4.308 6.313
Cr 6.109 0.000 5.047
Ge 1.286 7.733 3.218
Ge 1.286 3.065 1.828
Ge 0.000 8.178 6.005
Zr 2.088 1.598 9.607
Ge 0.000 5.825 0.958
Ge 6.913 3.065 1.828
Cr 2.052 0.747 2.589
Ge 6.913 6.270 8.265
Ge 0.000 3.510 9.135
Zr 2.088 6.265 5.533
Ge 0.000 8.976 8.827
Ge 6.913 1.603 6.875
Zr 4.099 3.111 1.817
Cr 2.090 0.000 5.047
Zr 2.088 3.070 4.560
Zr 2.088 7.737 0.486
Ge 4.099 1.222 4.025
Cr 6.147 8.588 7.505
Ge 4.099 5.054 3.814
Zr 4.099 7.779 3.229
Ge 4.099 8.949 8.861
Cr 6.147 5.415 2.458
Zr 6.111 1.598 9.607
Ge 4.099 5.890 1.021
Ge 4.099 0.386 1.232
Cr 6.147 3.921 7.635
Zr 6.111 7.737 0.486
Ge 0.000 5.027 3.781
Ge 4.099 8.113 6.068
Ge 1.286 6.270 8.265
Cr 6.147 0.747 2.589
Cr 2.090 4.668 0.000
Zr 4.099 1.556 6.864
Ge 0.000 1.157 4.089
Cr 6.109 4.668 0.000
Cr 2.052 3.921 7.635
Zr 6.111 6.265 5.533
Cr 2.052 5.415 2.458
Ge 4.099 3.446 9.072
Ge 1.286 1.603 6.875
Zr 4.099 6.224 8.276
Ge 6.913 7.733 3.218
Ge 4.099 4.281 6.279
```

The calculation puts the formation energy at -0.478 eV/atom. The calculation puts the total DFT energy (no corrections) at -7.3292 eV per atom. The energy relative to the lowest polymorph listed for this composition comes out at 0.000 eV/atom. As for the total magnetization: 0.0340 μB per atom.

No. 8
DFT (PBE) results for a relaxed structure of As2IrBr.

extended XYZ file:
```
4
Lattice="3.583 0.000 0.000 0.000 5.244 0.089 0.000 2.730 4.479" Properties=species:S:1:pos:R:3 pbc="T T T"
Br 1.792 1.993 1.142
As 0.000 4.471 2.561
Ir 1.792 5.980 3.426
As 0.000 7.490 4.290
```

The calculation puts the total DFT energy (no corrections) at -4.9380 eV per atom. The energy relative to the lowest polymorph listed for this composition comes out at 0.199 eV/atom. As for the total magnetization: 0.0000 μB per atom.

No. 9
DFT (PBE) results for a relaxed structure of AsRu2W.

extended XYZ file:
```
4
Lattice="-0.744 -1.028 2.603 3.848 0.081 1.133 -0.616 4.861 1.745" Properties=species:S:1:pos:R:3 pbc="T T T"
Ru -0.590 4.652 1.670
Ru 1.378 0.896 2.359
As 1.068 3.347 3.239
W -0.293 2.312 0.830
```

The calculation puts the formation energy at 0.156 eV/atom. The calculation puts the total DFT energy (no corrections) at -8.8827 eV per atom. As for the total magnetization: 0.0000 μB per atom.

No. 10
DFT (PBE) results for a relaxed structure of Li2CaAl2Pt2.

extended XYZ file:
```
7
Lattice="4.358 0.000 0.000 -2.179 3.765 -0.272 0.000 -1.861 7.944" Properties=species:S:1:pos:R:3 pbc="T T T"
Li 2.179 -0.776 5.805
Ca 0.000 0.000 0.000
Pt 0.000 0.466 5.546
Li 0.000 2.679 1.867
Al 2.179 1.650 4.588
Pt 2.179 1.437 2.126
Al 0.000 0.253 3.084
```

The calculation puts the formation energy at -0.707 eV/atom. The calculation puts the total DFT energy (no corrections) at -4.3351 eV per atom. As for the total magnetization: 0.0000 μB per atom.

No. 11
DFT (PBE) results for a relaxed structure of Pm2PrSb3.

extended XYZ file:
```
6
Lattice="4.517 0.000 0.000 0.000 6.380 0.000 -2.259 -3.190 6.771" Properties=species:S:1:pos:R:3 pbc="T T T"
Pm 3.388 4.785 1.135
Sb -1.129 1.595 5.672
Pm -1.129 -1.595 5.636
Sb 1.129 -1.595 3.386
Pr 1.129 1.595 3.386
Sb 3.388 1.595 1.099
```

The calculation puts the total DFT energy (no corrections) at -5.6295 eV per atom. The energy relative to the lowest polymorph listed for this composition comes out at 0.003 eV/atom. As for the total magnetization: 0.0000 μB per atom.

No. 12
DFT (PBE) results for a relaxed structure of SrBeCd2.

extended XYZ file:
```
4
Lattice="3.478 0.000 0.000 0.000 3.478 0.000 0.000 0.000 7.775" Properties=species:S:1:pos:R:3 pbc="T T T"
Be 1.739 1.739 6.357
Cd 1.739 1.739 1.593
Sr 0.000 0.000 4.094
Cd 0.000 0.000 7.395
```

The calculation puts the formation energy at 0.187 eV/atom. The calculation puts the total DFT energy (no corrections) at -1.6228 eV per atom. As for the total magnetization: 0.0000 μB per atom.

No. 13
DFT (PBE) results for a relaxed structure of Tb7Pr12Ho.

extended XYZ file:
```
20
Lattice="-2.186 -2.645 -5.285 -3.338 -7.869 7.823 -5.798 10.032 -0.118" Properties=species:S:1:pos:R:3 pbc="T T T"
Tb -8.532 5.782 -2.833
Pr -4.198 4.276 0.845
Tb -7.983 -0.624 7.082
Pr -7.124 -4.759 1.575
Tb -3.046 -0.445 -0.058
Pr -6.299 -5.431 5.571
Tb -2.789 -6.265 5.252
Pr -5.023 4.948 -3.151
Pr -9.227 3.402 1.866
Tb -1.093 -1.323 -2.643
Tb -8.275 -0.038 2.478
Pr -2.094 -3.885 0.554
Pr -5.443 -1.824 1.915
Pr -6.050 1.226 4.641
Pr -5.272 -1.709 -2.221
Tb -3.339 0.141 -4.662
Pr -5.879 1.342 0.504
Pr -3.182 -3.088 4.117
Pr -8.139 2.605 -1.698
Ho 0.000 0.000 0.000
```

The calculation puts the formation energy at 0.217 eV/atom. The calculation puts the total DFT energy (no corrections) at -4.4998 eV per atom. As for the total magnetization: 0.0000 μB per atom.

No. 14
DFT (PBE) results for a relaxed structure of BeAlP4.

extended XYZ file:
```
6
Lattice="0.000 3.523 3.523 3.523 0.000 3.523 3.523 3.523 0.000" Properties=species:S:1:pos:R:3 pbc="T T T"
Al 5.285 5.285 5.285
P 4.411 4.411 2.636
Be 0.000 0.000 0.000
P 2.636 2.636 2.636
P 2.636 4.411 4.411
P 4.411 2.636 4.411
```

The calculation puts the formation energy at 0.732 eV/atom. The calculation puts the total DFT energy (no corrections) at -4.1197 eV per atom. As for the total magnetization: 0.0000 μB per atom.

No. 15
DFT (PBE) results for a relaxed structure of EuMg2Zr.

extended XYZ file:
```
4
Lattice="-3.420 0.224 -0.022 -0.209 -3.283 -0.961 -0.219 -2.495 8.569" Properties=species:S:1:pos:R:3 pbc="T T T"
Eu -1.924 -2.777 3.793
Mg -0.048 -0.543 1.866
Zr -1.815 -1.529 -0.492
Mg -0.171 -1.952 6.703
```

The calculation puts the formation energy at 0.054 eV/atom. The calculation puts the total DFT energy (no corrections) at -5.4486 eV per atom. The energy relative to the lowest polymorph listed for this composition comes out at 0.000 eV/atom. As for the total magnetization: 1.8139 μB per atom.

No. 16
DFT (PBE) results for a relaxed structure of ScMo.

extended XYZ file:
```
8
Lattice="5.309 0.000 0.000 0.000 5.309 0.000 0.000 0.000 5.309" Properties=species:S:1:pos:R:3 pbc="T T T"
Sc 0.538 0.538 0.538
Mo 2.094 2.094 2.094
Mo 0.561 3.215 4.748
Mo 3.215 4.748 0.561
Sc 2.117 4.771 3.192
Mo 4.748 0.561 3.215
Sc 3.192 2.117 4.771
Sc 4.771 3.192 2.117
```

The calculation puts the formation energy at 0.464 eV/atom. The calculation puts the total DFT energy (no corrections) at -8.1172 eV per atom. The energy relative to the lowest polymorph listed for this composition comes out at 0.488 eV/atom. As for the total magnetization: 0.0006 μB per atom.

No. 17
DFT (PBE) results for a relaxed structure of Ac2ThNpO8.

extended XYZ file:
```
12
Lattice="4.117 -0.237 -0.002 -0.200 5.793 -0.007 0.005 0.008 7.823" Properties=species:S:1:pos:R:3 pbc="T T T"
O 3.890 1.064 1.776
O 1.919 1.269 3.909
Th 0.002 0.004 3.912
O 0.029 4.496 1.774
O 2.003 4.295 3.906
Ac 1.962 2.784 5.879
Np 0.000 0.000 0.000
O 3.892 1.069 6.041
Ac 1.960 2.780 1.935
O 1.679 1.116 7.821
O 2.243 4.449 -0.006
O 0.032 4.501 6.039
```

The calculation puts the total DFT energy (no corrections) at -9.0130 eV per atom. As for the total magnetization: 0.0833 μB per atom.

No. 18
DFT (PBE) results for a relaxed structure of NdY6Ho12.

extended XYZ file:
```
19
Lattice="8.278 0.000 2.654 -4.121 7.728 3.364 0.035 0.000 9.382" Properties=species:S:1:pos:R:3 pbc="T T T"
Y 1.530 3.668 4.683
Ho 3.298 1.225 8.702
Ho 0.893 6.503 6.698
Ho 1.107 0.402 6.025
Ho 3.084 7.326 9.375
Ho 0.470 3.253 8.037
Nd 0.000 0.000 0.000
Y 6.545 2.436 8.024
Ho 2.005 6.917 12.722
Y 2.661 4.059 10.717
Ho 3.721 4.475 7.363
Ho -1.287 5.692 4.022
Y -2.353 5.292 7.376
Ho 2.186 0.811 2.678
Y -0.172 6.105 10.063
Y 4.363 1.623 5.337
Ho 5.478 2.036 11.378
Ho 4.839 4.877 13.392
Ho -0.648 2.851 2.008
```

The calculation puts the formation energy at 0.022 eV/atom. The calculation puts the total DFT energy (no corrections) at -5.1613 eV per atom. The energy relative to the lowest polymorph listed for this composition comes out at 0.000 eV/atom. As for the total magnetization: 0.0000 μB per atom.

No. 19
DFT (PBE) results for a relaxed structure of Sm6GaRu2Cl3.

extended XYZ file:
```
12
Lattice="7.083 -0.015 0.003 -3.552 6.128 0.003 -1.175 -2.034 7.467" Properties=species:S:1:pos:R:3 pbc="T T T"
Ga 0.000 0.000 0.000
Cl 4.687 0.013 3.736
Sm 3.633 1.900 5.911
Sm 0.086 0.149 5.889
Sm -1.277 2.179 1.562
Cl 1.178 2.040 3.736
Sm -0.169 4.096 5.911
Ru 0.006 4.073 0.003
Cl -2.331 4.066 3.736
Ru 3.525 2.040 0.003
Sm 2.525 -0.017 1.562
Sm 2.270 3.931 1.584
```

The calculation puts the total DFT energy (no corrections) at -5.5494 eV per atom. As for the total magnetization: 0.0000 μB per atom.

No. 20
DFT (PBE) results for a relaxed structure of NaCr2CuNi.

extended XYZ file:
```
5
Lattice="4.779 0.000 0.000 0.000 4.360 0.000 0.000 0.000 4.779" Properties=species:S:1:pos:R:3 pbc="T T T"
Cu 2.390 2.180 2.390
Ni 0.000 2.180 0.000
Na 0.000 0.000 0.000
Cr 0.000 0.000 2.390
Cr 2.390 0.000 0.000
```

The calculation puts the formation energy at 1.874 eV/atom. The calculation puts the total DFT energy (no corrections) at -4.2142 eV per atom. As for the total magnetization: 1.9058 μB per atom.

No. 21
DFT (PBE) results for a relaxed structure of Sr5Al2Cd.

extended XYZ file:
```
16
Lattice="-4.171 0.890 7.404 3.752 -7.080 2.965 6.563 7.729 -2.161" Properties=species:S:1:pos:R:3 pbc="T T T"
Sr 0.000 0.000 0.000
Al 1.018 -2.677 1.963
Al -1.436 -3.514 8.405
Cd 2.968 -0.779 6.696
Cd 3.177 2.317 1.511
Sr 3.612 -3.292 4.136
Sr 5.052 1.153 4.413
Al 1.712 -5.965 5.543
Al -2.131 -0.226 4.825
Sr 4.040 5.477 -0.087
Sr 1.093 0.385 3.794
Sr 2.105 -3.939 8.294
Sr 6.559 1.799 0.254
Sr -0.414 -0.261 7.953
Sr 2.533 4.830 4.071
Sr -0.209 -3.095 5.184
```

The calculation puts the formation energy at -0.174 eV/atom. The calculation puts the total DFT energy (no corrections) at -2.2752 eV per atom. As for the total magnetization: 0.0000 μB per atom.

No. 22
DFT (PBE) results for a relaxed structure of CaLaEr2Bi4.

extended XYZ file:
```
8
Lattice="4.540 0.000 0.000 0.000 7.977 -0.202 0.000 2.763 7.337" Properties=species:S:1:pos:R:3 pbc="T T T"
Ca 2.270 3.988 -0.101
Er 2.270 1.381 3.668
Bi 2.270 3.967 5.506
La 0.000 5.370 3.567
Bi 2.270 6.773 1.629
Bi 4.540 2.581 1.810
Bi 0.000 8.159 5.324
Er 0.000 2.763 7.337
```

The calculation puts the formation energy at -0.829 eV/atom. The calculation puts the total DFT energy (no corrections) at -4.7763 eV per atom. As for the total magnetization: 0.0000 μB per atom.